No. 1
First-principles (GGA-PBE) data for a relaxed structure of Ca2PmAg, as listed in the Alexandria database.

Computed properties:
Energy (eV per atom): -2.999
Excess energy over the best structure of this formula in the dataset (meV per atom): 0
Space group: No. 63
Formation enthalpy at 0 K (eV per formula unit): -0.39

a b c (Å): 3.8424 6.8150 10.4100
angles (deg): 90.00 90.00 106.39
Fractional coordinates of all 8 atoms:
Ca 0.6354 0.2715 0.0589
Ca 0.6354 0.2715 0.4411
Ca 0.3646 0.7285 0.9411
Ca 0.3646 0.7285 0.5589
Pm 0.9343 0.8683 0.2500
Pm 0.0657 0.1317 0.7500
Ag 0.7490 0.4977 0.7500
Ag 0.2510 0.5023 0.2500

No. 2
First-principles (GGA-PBE) data for a relaxed structure of CaPmAg2, as listed in the Alexandria database.

Computed properties:
Energy (eV per atom): -3.412
Excess energy over the best structure of this formula in the dataset (meV per atom): 7
Space group: No. 123
Formation enthalpy at 0 K (eV per formula unit): -1.19

a b c (Å): 3.7231 3.7231 7.4776
angles (deg): 90.00 90.00 90.00
Fractional coordinates of all 4 atoms:
Ca 0.5000 0.5000 0.5000
Ag 0.0000 0.0000 0.7602
Ag 0.0000 0.0000 0.2398
Pm 0.5000 0.5000 0.0000

No. 3
First-principles (GGA-PBE) data for a relaxed structure of CaPmAg2, as listed in the Alexandria database.

Computed properties:
Energy (eV per atom): -3.419
Excess energy over the best structure of this formula in the dataset (meV per atom): 0
Space group: No. 225
Formation enthalpy at 0 K (eV per formula unit): -1.22

a b c (Å): 5.2401 5.2401 5.2401
angles (deg): 60.00 60.00 60.00
Fractional coordinates of all 4 atoms:
Pm 0.0000 0.0000 0.0000
Ca 0.5000 0.5000 0.5000
Ag 0.2500 0.2500 0.2500
Ag 0.7500 0.7500 0.7500

No. 4
First-principles (GGA-PBE) data for a relaxed structure of Ca2PmAg3, as listed in the Alexandria database.

Computed properties:
Energy (eV per atom): -3.185
Space group: No. 123
Formation enthalpy at 0 K (eV per formula unit): -1.80

a b c (Å): 3.7309 3.7309 11.1186
angles (deg): 90.00 90.00 90.00
Fractional coordinates of all 6 atoms:
Ag 0.0000 0.0000 0.3390
Ag 0.0000 0.0000 0.0000
Ag 0.0000 0.0000 0.6610
Pm 0.5000 0.5000 0.5000
Ca 0.5000 0.5000 0.1675
Ca 0.5000 0.5000 0.8325

No. 5
First-principles (GGA-PBE) data for a relaxed structure of Ca2PmAg4, as listed in the Alexandria database.

Computed properties:
Energy (eV per atom): -2.950
Space group: No. 139
Formation enthalpy at 0 K (eV per formula unit): -0.49

a b c (Å): 6.3186 6.3186 6.3186
angles (deg): 110.70 108.86 108.86
Fractional coordinates of all 7 atoms:
Ca 0.5000 0.0000 0.5000
Ca 0.5000 0.5000 0.0000
Ag 0.5000 0.5000 0.5000
Ag 0.0000 0.5000 0.0000
Ag 0.0000 0.0000 0.5000
Ag 0.5000 0.0000 0.0000
Pm 0.0000 0.0000 0.0000

No. 6
First-principles (GGA-PBE) data for a relaxed structure of CaPm2Ag2, as listed in the Alexandria database.

Computed properties:
Energy (eV per atom): -3.646
Excess energy over the best structure of this formula in the dataset (meV per atom): 0
Space group: No. 127
Formation enthalpy at 0 K (eV per formula unit): -1.02

a b c (Å): 3.9398 8.5153 8.5153
angles (deg): 90.00 90.00 90.00
Fractional coordinates of all 10 atoms:
Ag 0.0000 0.8720 0.6280
Ag 0.0000 0.6280 0.1280
Ag 0.0000 0.3720 0.8720
Ag 0.0000 0.1280 0.3720
Pm 0.5000 0.1614 0.6614
Pm 0.5000 0.3386 0.1614
Pm 0.5000 0.8386 0.3386
Pm 0.5000 0.6614 0.8386
Ca 0.0000 0.5000 0.5000
Ca 0.0000 0.0000 0.0000

No. 7
First-principles (GGA-PBE) data for a relaxed structure of Ca3Pm2Ag4, as listed in the Alexandria database.

Computed properties:
Energy (eV per atom): -3.198
Space group: No. 12
Formation enthalpy at 0 K (eV per formula unit): -1.87

a b c (Å): 5.2303 5.2262 10.4074
angles (deg): 90.05 90.00 59.97
Fractional coordinates of all 9 atoms:
Ag 0.6669 0.6661 0.8980
Ag 0.3331 0.3339 0.1020
Ag 0.0005 0.9990 0.6830
Ag 0.9995 0.0010 0.3170
Ca 0.0000 0.0000 0.0000
Ca 0.3329 0.3341 0.4093
Ca 0.6671 0.6659 0.5907
Pm 0.3336 0.3328 0.7980
Pm 0.6664 0.6672 0.2020

No. 8
First-principles (GGA-PBE) data for a relaxed structure of Ca3PmAg4, as listed in the Alexandria database.

Computed properties:
Energy (eV per atom): -3.079
Space group: No. 166
Formation enthalpy at 0 K (eV per formula unit): -2.47

a b c (Å): 5.2522 5.2522 9.0836
angles (deg): 73.20 73.20 60.00
Fractional coordinates of all 8 atoms:
Pm 0.0000 0.0000 0.0000
Ca 0.5000 0.5000 0.5000
Ca 0.2491 0.2491 0.2528
Ca 0.7509 0.7509 0.7472
Ag 0.8766 0.8766 0.3701
Ag 0.6274 0.6274 0.1179
Ag 0.1234 0.1234 0.6299
Ag 0.3726 0.3726 0.8821

No. 9
First-principles (GGA-PBE) data for a relaxed structure of Ca5PmAg6, as listed in the Alexandria database.

Computed properties:
Energy (eV per atom): -2.964
Space group: No. 10
Formation enthalpy at 0 K (eV per formula unit): -3.70

a b c (Å): 5.2477 7.4523 8.2948
angles (deg): 90.00 71.30 90.00
Fractional coordinates of all 12 atoms:
Ag 0.5000 0.7602 0.0000
Ag 0.1636 0.7508 0.6727
Ag 0.8364 0.7508 0.3273
Ag 0.1636 0.2492 0.6727
Ag 0.5000 0.2398 0.0000
Ag 0.8364 0.2492 0.3273
Ca 0.3316 0.0000 0.3367
Ca 0.6684 0.0000 0.6633
Ca 0.3345 0.5000 0.3313
Ca 0.0000 0.5000 0.0000
Ca 0.6655 0.5000 0.6687
Pm 0.0000 0.0000 0.0000

No. 10
First-principles (GGA-PBE) data for a relaxed structure of CaPm2Ag6, as listed in the Alexandria database.

Computed properties:
Energy (eV per atom): -3.438
Space group: No. 191
Formation enthalpy at 0 K (eV per formula unit): -2.33

a b c (Å): 3.5525 8.3116 8.3116
angles (deg): 60.02 89.99 89.99
Fractional coordinates of all 9 atoms:
Pm 0.0000 0.3333 0.3333
Pm 0.0000 0.6667 0.6667
Ag 0.5013 0.3330 0.0001
Ag 0.5013 0.0001 0.3330
Ag 0.4987 0.6670 0.9999
Ag 0.5000 0.3332 0.6668
Ag 0.4987 0.9999 0.6670
Ag 0.5000 0.6668 0.3332
Ca 0.0000 0.0000 0.0000

No. 11
First-principles (GGA-PBE) data for a relaxed structure of Ca2PmAg6, as listed in the Alexandria database.

Computed properties:
Energy (eV per atom): -3.133
Excess energy over the best structure of this formula in the dataset (meV per atom): 0
Space group: No. 191
Formation enthalpy at 0 K (eV per formula unit): -2.34

a b c (Å): 3.6038 8.2836 8.2836
angles (deg): 120.00 90.00 90.00
Fractional coordinates of all 9 atoms:
Ag 0.5000 0.6664 0.6664
Ag 0.5000 0.6664 0.0000
Ag 0.5000 0.0000 0.3336
Ag 0.5000 0.0000 0.6664
Ag 0.5000 0.3336 0.0000
Ag 0.5000 0.3336 0.3336
Ca 0.0000 0.3333 0.6667
Ca 0.0000 0.6667 0.3333
Pm 0.0000 0.0000 0.0000

No. 12
First-principles (GGA-PBE) data for a relaxed structure of CaPmAgRh, as listed in the Alexandria database.

Computed properties:
Energy (eV per atom): -4.649
Space group: No. 216
Formation enthalpy at 0 K (eV per formula unit): -1.64

a b c (Å): 5.0637 5.0637 5.0637
angles (deg): 60.00 60.00 60.00
Fractional coordinates of all 4 atoms:
Ca 0.0000 0.0000 0.0000
Ag 0.2500 0.2500 0.2500
Pm 0.5000 0.5000 0.5000
Rh 0.7500 0.7500 0.7500